A relaxed LaPmAu3 crystal, computed with PBE.

## Properties
Distance to the lowest polymorph of the same formula ... 0.000 eV per atom
Crystal system ... orthorhombic
Formation energy ... -78.7 kJ per mole of atoms

Cell: 3.7914 4.6669 14.4743 Å, 90.00 97.53 90.00°
With the nearest neighbours (Å) after each atom.
Atoms (fractional coordinates):
Au (0.5256, 0.7500, 0.0511)  3 Au 2.76
Au (0.6840, 0.2500, 0.3681)  2 Au 2.94, 5 Pm 3.07-3.17
Au (0.4744, 0.2500, 0.9489)  3 Au 2.76
Au (0.3781, 0.2500, 0.7562)  3 Au 2.76-2.94, 2 Pm 3.05
Au (0.6219, 0.7500, 0.2438)  3 Au 2.76-2.94, 2 Pm 3.05
Au (0.3160, 0.7500, 0.6319)  2 Au 2.94, 5 Pm 3.07-3.17
La (0.9274, 0.7500, 0.8549)  10 Au 3.30-3.39
La (0.0726, 0.2500, 0.1451)  10 Au 3.30-3.39
Pm (0.7946, 0.2500, 0.5893)  7 Au 3.05-3.17
Pm (0.2054, 0.7500, 0.4107)  7 Au 3.05-3.17

A relaxed Er8CuSn2 crystal, computed with PBE.

## Properties
Crystal system ... monoclinic
Formation energy ... -28.5 kJ per mole of atoms

Cell: 4.9490 6.6409 9.7774 Å, 103.67 104.66 90.00°
With the nearest neighbours (Å) after each atom.
Atoms (fractional coordinates):
Er (0.5916, 0.4697, 0.1833)  1 Cu 3.18, 2 Sn 3.34, 4 Er 3.39-3.54
Er (0.4084, 0.5303, 0.8167)  1 Cu 3.18, 2 Sn 3.34, 4 Er 3.39-3.54
Er (0.6473, 0.9984, 0.2947)  1 Cu 2.79, 2 Sn 3.10
Er (0.2153, 0.3169, 0.4307)  3 Sn 3.15-3.25, 4 Er 3.30-3.49
Er (0.0181, 0.7807, 0.0362)  2 Cu 2.93, 1 Sn 3.15, 1 Er 3.15
Er (0.9819, 0.2193, 0.9638)  2 Cu 2.93, 1 Sn 3.15, 1 Er 3.15
Er (0.3527, 0.0016, 0.7053)  1 Cu 2.79, 2 Sn 3.10
Er (0.7847, 0.6831, 0.5693)  3 Sn 3.15-3.25, 4 Er 3.30-3.49
Sn (0.1824, 0.7591, 0.3649)  9 Er 3.10-3.34
Sn (0.8176, 0.2409, 0.6351)  9 Er 3.10-3.34
Cu (0.5000, 0.0000, 0.0000)  6 Er 2.79-2.93

A relaxed VFePd2 crystal, computed with PBE.

## Properties
Distance to the lowest polymorph of the same formula ... 0.129 eV per atom
Crystal system ... tetragonal
Formation energy ... -4.9 kJ per mole of atoms

Cell: 3.2592 3.2592 5.4464 Å, 90.00 90.00 90.00°
With the nearest neighbours (Å) after each atom.
Atoms (fractional coordinates):
Pd (0.0000, 0.0000, 0.7523)  4 Fe 2.67, 4 V 2.68, 2 Pd 2.70-2.75
Pd (0.0000, 0.0000, 0.2477)  4 Fe 2.67, 4 V 2.68, 2 Pd 2.70-2.75
Fe (0.5000, 0.5000, 0.0000)  8 Pd 2.67, 2 V 2.72
V (0.5000, 0.5000, 0.5000)  8 Pd 2.68, 2 Fe 2.72

A relaxed CaDy2Cd2 crystal, computed with PBE.

## Properties
Crystal system ... orthorhombic
Formation energy ... -24.4 kJ per mole of atoms

Cell: 3.7404 5.4211 14.0352 Å, 90.00 97.63 90.00°
With the nearest neighbours (Å) after each atom.
Atoms (fractional coordinates):
Cd (0.5471, 0.2500, 0.0932)  6 Dy 3.20-3.29, 2 Ca 3.33
Cd (0.3582, 0.2500, 0.7160)  4 Dy 3.18-3.24, 4 Ca 3.29-3.30
Cd (0.6418, 0.7500, 0.2840)  4 Dy 3.18-3.24, 4 Ca 3.29-3.30
Cd (0.4529, 0.7500, 0.9068)  6 Dy 3.20-3.29, 2 Ca 3.33
Dy (0.7656, 0.2500, 0.5311)  2 Cd 3.18, 4 Dy 3.40-3.41
Dy (0.0471, 0.7500, 0.0938)  8 Cd 3.20-3.29
Dy (0.9529, 0.2500, 0.9062)  8 Cd 3.20-3.29
Dy (0.2344, 0.7500, 0.4689)  2 Cd 3.18, 4 Dy 3.40-3.41
Ca (0.8543, 0.7500, 0.7085)  6 Cd 3.29-3.33, 2 Dy 3.67
Ca (0.1457, 0.2500, 0.2915)  6 Cd 3.29-3.33, 2 Dy 3.67

The lowest formation energy belongs to which entry?
LaPmAu3

Which of these has the lowest formation energy?
LaPmAu3